! ErTc2AgO8 | the Alexandria database | PBE-GGA | relaxed; values from VASP
&SYSTEM
  ibrav = 0, nat = 12, ntyp = 4
/
ATOMIC_SPECIES
Er 167.26 Er.upf
Tc 98.00 Tc.upf
Ag 107.87 Ag.upf
O 16.00 O.upf
CELL_PARAMETERS angstrom
6.011 0.000 0.000
-3.005 5.206 0.000
0.000 0.000 6.605
ATOMIC_POSITIONS crystal
Er 0.000 0.000 0.000
Tc 0.333 0.667 0.294
Tc 0.667 0.333 0.706
Ag 0.000 0.000 0.500
O 0.169 0.338 0.207
O 0.169 0.831 0.207
O 0.333 0.667 0.557
O 0.338 0.169 0.793
O 0.662 0.831 0.207
O 0.667 0.333 0.443
O 0.831 0.169 0.793
O 0.831 0.662 0.793
! - energy (eV/atom) = -7.264
! - E_form (uncorrected) (meV per atom) = -1613
! - N(E_F) (states/eV per cell) = 5.4

! Pm3Sm2In2 | the Alexandria database | PBE-GGA | relaxed; values from VASP
&SYSTEM
  ibrav = 0, nat = 14, ntyp = 3
/
ATOMIC_SPECIES
Pm 145.00 Pm.upf
Sm 150.36 Sm.upf
In 114.82 In.upf
CELL_PARAMETERS angstrom
17.131 0.000 0.000
0.000 3.550 0.000
-3.821 0.000 7.155
ATOMIC_POSITIONS crystal
Pm 0.000 0.000 0.000
Pm 0.210 0.000 0.128
Pm 0.290 0.500 0.872
Pm 0.500 0.500 0.000
Pm 0.710 0.500 0.128
Pm 0.790 0.000 0.872
Sm 0.128 0.000 0.473
Sm 0.372 0.500 0.527
Sm 0.628 0.500 0.473
Sm 0.872 0.000 0.527
In 0.068 0.500 0.741
In 0.432 0.000 0.259
In 0.568 0.000 0.741
In 0.932 0.500 0.259
! - energy of formation (eV per atom) = -0.14
! - energy (eV/atom) = -4.306
! - E above lowest polymorph (meV per atom) = 33
! - N(E_F) (states/eV per cell) = 17.1

! CdCu2Hg2 | the Alexandria database | PBE-GGA | relaxed; values from VASP
&SYSTEM
  ibrav = 0, nat = 10, ntyp = 3
/
ATOMIC_SPECIES
Cd 112.41 Cd.upf
Cu 63.55 Cu.upf
Hg 200.59 Hg.upf
CELL_PARAMETERS angstrom
3.447 0.000 0.000
0.000 3.447 0.000
0.000 0.000 16.732
ATOMIC_POSITIONS crystal
Cd 0.000 0.000 0.000
Cd 0.500 0.500 0.500
Cu 0.000 0.500 0.250
Cu 0.000 0.500 0.750
Cu 0.500 0.000 0.250
Cu 0.500 0.000 0.750
Hg 0.000 0.000 0.381
Hg 0.000 0.000 0.619
Hg 0.500 0.500 0.119
Hg 0.500 0.500 0.881
! - energy of formation (eV per atom) = 0.16
! - energy (eV/atom) = -1.781
! - E above lowest polymorph (meV per atom) = 24
! - N(E_F) (states/eV per cell) = 3.2

Which of these has the lowest energy? ErTc2AgO8

Please write out number 3 again, unchanged.
! CdCu2Hg2 | the Alexandria database | PBE-GGA | relaxed; values from VASP
&SYSTEM
  ibrav = 0, nat = 10, ntyp = 3
/
ATOMIC_SPECIES
Cd 112.41 Cd.upf
Cu 63.55 Cu.upf
Hg 200.59 Hg.upf
CELL_PARAMETERS angstrom
3.447 0.000 0.000
0.000 3.447 0.000
0.000 0.000 16.732
ATOMIC_POSITIONS crystal
Cd 0.000 0.000 0.000
Cd 0.500 0.500 0.500
Cu 0.000 0.500 0.250
Cu 0.000 0.500 0.750
Cu 0.500 0.000 0.250
Cu 0.500 0.000 0.750
Hg 0.000 0.000 0.381
Hg 0.000 0.000 0.619
Hg 0.500 0.500 0.119
Hg 0.500 0.500 0.881
! - energy of formation (eV per atom) = 0.16
! - energy (eV/atom) = -1.781
! - E above lowest polymorph (meV per atom) = 24
! - N(E_F) (states/eV per cell) = 3.2

Which value of energy does entry 3 give? -1.781 eV/atom

Which of these has the highest N(E_F)? Pm3Sm2In2